The following is a DFT calculation (PBE) of RuRhW after structural relaxation.

The space group is Cmcm (No. 63) and the conventional cell measures 3.889, 11.593 and 3.918 Å, with angles of 90.00, 90.00 and 90.00 degrees. Symmetry generates all atoms from Ru at (0.000, 0.249, 0.250), Rh at (0.000, 0.419, 0.750) and W at (0.000, 0.093, 0.750).

For the energy relative to the elements, the calculation gives -0.081 eV per atom. The value obtained for the total energy is -119.3 eV per cell. For the relative energy among the computed polymorphs, the calculation gives 0.0000 eV/atom. The magnetic moment is 0.00 μB/f.u.